## ScRe2Ge (PBE)

Data for crystalline ScRe2Ge at its relaxed geometry.

N(E_F), states/eV per atom: 1.06
Formation enthalpy at 0 K, eV per formula unit: 2.2
Crystal system: tetragonal

abc: 5.952 5.952 5.952
angles: 100.26 100.26 130.08
Atoms (fractional coordinates):
Sc: 0.000 0.000 0.000
Sc: 0.750 0.250 0.500
Re: 0.190 0.625 0.065
Re: 0.375 0.440 0.565
Re: 0.560 0.125 0.935
Re: 0.875 0.810 0.435
Ge: 0.250 0.750 0.500
Ge: 0.500 0.500 0.000